1.
Entry from Alexandria via LeMat-Bulk: an optimized crystal structure of YPuIn6 (GGA-PBE).

a = 4.6459 Å, b = 4.6459 Å, c = 9.3095 Å
α = 90.00°, β = 90.00°, γ = 90.00°
Space group P4/mmm (No. 123)
Unique sites:
Y1 0.0000 0.0000 0.0000 x1
Pu1 0.0000 0.0000 0.5000 x1
In1 0.0000 0.5000 0.2507 x4
In2 0.5000 0.5000 0.0000 x1
In3 0.5000 0.5000 0.5000 x1

Output
Magnetization = 5.7 μB per formula unit
Energy = -39.87 eV for the cell shown
Calculated density = 8.44 g/cm3
DOS(E_F) = 13.5 states/eV per cell
ΔH_f (0 K) = -0.330 eV/atom

---

2.
Entry from Alexandria via LeMat-Bulk: an optimized crystal structure of YPu2In (GGA-PBE).

a = 4.5437 Å, b = 4.5437 Å, c = 5.1805 Å
α = 90.00°, β = 90.00°, γ = 90.00°
Space group P4/mmm (No. 123)
Unique sites:
Y1 0.0000 0.0000 0.0000 x1
Pu1 0.0000 0.5000 0.5000 x2
In1 0.5000 0.5000 0.0000 x1

Output
Magnetization = 12.0 μB per formula unit
Energy = -38.34 eV for the cell shown
Calculated density = 10.74 g/cm3
DOS(E_F) = 11.1 states/eV per cell
ΔH_f (0 K) = -0.118 eV/atom

---

3.
Entry from Alexandria via LeMat-Bulk: an optimized crystal structure of Y2PuIn3 (GGA-PBE).

a = 3.7360 Å, b = 3.7360 Å, c = 11.5756 Å
α = 90.00°, β = 90.00°, γ = 90.00°
Space group P4/mmm (No. 123)
Unique sites:
Y1 0.0000 0.0000 0.1646 x2
Pu1 0.0000 0.0000 0.5000 x1
In1 0.5000 0.5000 0.0000 x1
In2 0.5000 0.5000 0.3282 x2

Output
Magnetization = 5.9 μB per formula unit
Energy = -37.63 eV for the cell shown
Calculated density = 7.88 g/cm3
DOS(E_F) = 11.3 states/eV per cell
ΔH_f (0 K) = -0.358 eV/atom

---

4.
Entry from Alexandria via LeMat-Bulk: an optimized crystal structure of YPuZnIn (GGA-PBE).

a = 7.4029 Å, b = 7.4029 Å, c = 7.4029 Å
α = 90.00°, β = 90.00°, γ = 90.00°
Space group F-43m (No. 216)
Unique sites:
Y1 0.0000 0.0000 0.0000 x4
Pu1 0.0000 0.0000 0.5000 x4
Zn1 0.2500 0.2500 0.7500 x4
In1 0.2500 0.2500 0.2500 x4

Output
Magnetization = 6.2 μB per formula unit
Energy = -102.64 eV for the cell shown
Calculated density = 8.40 g/cm3
DOS(E_F) = 30.8 states/eV per cell
ΔH_f (0 K) = -0.213 eV/atom

---

5.
Entry from Alexandria via LeMat-Bulk: an optimized crystal structure of PuZnIn (GGA-PBE).

a = 10.0941 Å, b = 5.5983 Å, c = 4.3773 Å
α = 90.00°, β = 98.13°, γ = 90.00°
Space group P2_1/c (No. 14)
Unique sites:
Pu1 0.0675 0.1591 0.1125 x4
Zn1 0.2071 0.6283 0.1648 x4
In1 0.3906 0.0393 0.2189 x4

Output
Magnetization = 0.9 μB per formula unit
Energy = -72.22 eV for the cell shown
Calculated density = 11.51 g/cm3
DOS(E_F) = 15.2 states/eV per cell
ΔH_f (0 K) = 0.097 eV/atom

---

6.
Entry from Alexandria via LeMat-Bulk: an optimized crystal structure of Pu2ZnIn8 (GGA-PBE).

a = 4.7779 Å, b = 4.7779 Å, c = 12.0799 Å
α = 90.00°, β = 90.00°, γ = 90.00°
Space group P4/mmm (No. 123)
Unique sites:
Pu1 0.0000 0.0000 0.1899 x2
Zn1 0.0000 0.0000 0.5000 x1
In1 0.0000 0.5000 0.0000 x2
In2 0.0000 0.5000 0.3698 x4
In3 0.5000 0.5000 0.1891 x2

Output
Magnetization = 11.3 μB per formula unit
Energy = -53.45 eV for the cell shown
Calculated density = 8.86 g/cm3
DOS(E_F) = 26.1 states/eV per cell
ΔH_f (0 K) = -0.146 eV/atom

---

7.
Entry from Alexandria via LeMat-Bulk: an optimized crystal structure of Pu2Zn16In (GGA-PBE).

a = 9.1095 Å, b = 9.1095 Å, c = 13.3025 Å
α = 90.00°, β = 90.00°, γ = 120.00°
Space group R3m (No. 160, hexagonal axes)
Unique sites:
Pu1 0.0000 0.0000 0.0000 x3
Pu2 0.0000 0.0000 0.3241 x3
Zn1 0.0000 0.0000 0.5538 x3
Zn2 0.0005 0.3036 0.6601 x18
Zn3 0.0091 0.5045 0.8135 x9
Zn4 0.0109 0.5055 0.1604 x9
Zn5 0.1750 0.3500 0.8416 x9
In1 0.0000 0.0000 0.7593 x3

Output
Magnetization = 11.1 μB per formula unit
Energy = -162.94 eV for the cell shown
Calculated density = 8.59 g/cm3
DOS(E_F) = 69.4 states/eV per cell
ΔH_f (0 K) = -0.133 eV/atom

---

8.
Entry from Alexandria via LeMat-Bulk: an optimized crystal structure of PuZnIn (GGA-PBE).

a = 3.4703 Å, b = 8.2523 Å, c = 8.9093 Å
α = 90.00°, β = 90.00°, γ = 90.00°
Space group Imm2 (No. 44)
Unique sites:
Pu1 0.0000 0.0000 0.0000 x2
Pu2 0.0000 0.5000 0.2969 x2
Zn1 0.0000 0.3432 0.7689 x4
In1 0.0000 0.1719 0.5125 x4

Output
Magnetization = 0.1 μB per formula unit
Energy = -74.52 eV for the cell shown
Calculated density = 11.04 g/cm3
DOS(E_F) = 15.1 states/eV per cell
ΔH_f (0 K) = -0.095 eV/atom

---

9.
Entry from Alexandria via LeMat-Bulk: an optimized crystal structure of PuZnIn2 (GGA-PBE).

a = 4.8608 Å, b = 4.8608 Å, c = 7.9414 Å
α = 90.00°, β = 90.00°, γ = 90.00°
Space group P4/nmm (No. 129, origin choice 2)
Unique sites:
Pu1 0.2500 0.2500 0.2199 x2
Zn1 0.2500 0.7500 0.0000 x2
In1 0.2500 0.2500 0.7806 x2
In2 0.2500 0.7500 0.5000 x2

Output
Magnetization = 5.8 μB per formula unit
Energy = -42.98 eV for the cell shown
Calculated density = 9.54 g/cm3
DOS(E_F) = 24.2 states/eV per cell
ΔH_f (0 K) = -0.102 eV/atom

---

10.
Entry from Alexandria via LeMat-Bulk: an optimized crystal structure of PuZnIn (GGA-PBE).

a = 3.1802 Å, b = 3.1802 Å, c = 13.2454 Å
α = 90.00°, β = 90.00°, γ = 90.00°
Space group I4mm (No. 107)
Unique sites:
Pu1 0.0000 0.0000 0.0000 x2
Zn1 0.0000 0.0000 0.3401 x2
In1 0.0000 0.0000 0.6888 x2

Output
Magnetization = 5.6 μB per formula unit
Energy = -37.26 eV for the cell shown
Calculated density = 10.52 g/cm3
DOS(E_F) = 9.6 states/eV per cell
ΔH_f (0 K) = -0.095 eV/atom

---

11.
Entry from Alexandria via LeMat-Bulk: an optimized crystal structure of PuZnIn2 (GGA-PBE).

a = 7.2603 Å, b = 7.2603 Å, c = 7.2603 Å
α = 90.00°, β = 90.00°, γ = 90.00°
Space group Fm-3m (No. 225)
Unique sites:
Pu1 0.0000 0.0000 0.0000 x4
Zn1 0.0000 0.0000 0.5000 x4
In1 0.2500 0.2500 0.2500 x8

Output
Magnetization = 5.9 μB per formula unit
Energy = -84.42 eV for the cell shown
Calculated density = 9.36 g/cm3
DOS(E_F) = 45.4 states/eV per cell
ΔH_f (0 K) = -0.006 eV/atom

---

12.
Entry from Alexandria via LeMat-Bulk: an optimized crystal structure of PuZnIn (GGA-PBE).

a = 4.9331 Å, b = 4.9331 Å, c = 3.1943 Å
α = 90.00°, β = 90.00°, γ = 120.00°
Space group P-6m2 (No. 187)
Unique sites:
Pu1 0.0000 0.0000 0.0000 x1
Zn1 0.3333 0.6667 0.5000 x1
In1 0.6667 0.3333 0.5000 x1

Output
Magnetization = 5.9 μB per formula unit
Energy = -18.85 eV for the cell shown
Calculated density = 10.46 g/cm3
DOS(E_F) = 7.7 states/eV per cell
ΔH_f (0 K) = -0.167 eV/atom

---

13.
Entry from Alexandria via LeMat-Bulk: an optimized crystal structure of PuZn4In (GGA-PBE).

a = 7.7428 Å, b = 7.7428 Å, c = 7.7428 Å
α = 90.00°, β = 90.00°, γ = 90.00°
Space group F-43m (No. 216)
Unique sites:
Pu1 0.0000 0.0000 0.0000 x4
Zn1 0.1258 0.1258 0.3742 x16
In1 0.2500 0.2500 0.7500 x4

Output
Magnetization = 5.8 μB per formula unit
Energy = -89.57 eV for the cell shown
Calculated density = 8.88 g/cm3
DOS(E_F) = 39.9 states/eV per cell
ΔH_f (0 K) = -0.038 eV/atom